# 1
Compound: ScTi2Ir2
Source: Alexandria via LeMat-Bulk
Functional: PBE-GGA
Structure: optimized geometry

Results
- Energy relative to the lowest polymorph listed for this composition: 0.051 eV per atom
- Raw total energy: -8.672 eV/atom

POSCAR file:
```
ScTi2Ir2
1.0
-2.080 2.080 5.379
2.080 -2.080 5.379
2.080 2.080 -5.379
Sc Ti Ir
1 2 2
Direct
0.000 0.000 0.000
0.250 0.750 0.500
0.750 0.250 0.500
0.383 0.383 0.000
0.617 0.617 0.000
```

# 2
Compound: BaCd2HgAu2
Source: Alexandria via LeMat-Bulk
Functional: PBE-GGA
Structure: optimized geometry

Results
- Raw total energy: -2.143 eV/atom

POSCAR file:
```
BaCd2HgAu2
1.0
4.921 0.000 0.000
-2.460 4.261 0.000
0.000 0.000 7.521
Ba Cd Hg Au
1 2 1 2
Direct
0.000 0.000 0.000
0.333 0.667 0.317
0.667 0.333 0.683
0.000 0.000 0.500
0.333 0.667 0.724
0.667 0.333 0.276
```

# 3
Compound: Hf2ZrBe
Source: Alexandria via LeMat-Bulk
Functional: PBE-GGA
Structure: optimized geometry

Results
- Raw total energy: -7.886 eV/atom

POSCAR file:
```
Hf2ZrBe
1.0
1.606 0.927 8.883
-1.606 0.927 8.883
0.000 -1.855 8.883
Hf Zr Be
2 1 1
Direct
0.237 0.237 0.237
0.763 0.763 0.763
0.000 0.000 0.000
0.500 0.500 0.500
```